Entry from Alexandria: a relaxed LaFe2Co2 crystal (PBE-GGA).

**ΔE_f**: 0.45 eV/atom
**Size of the total moment**: 0.309 μB/f.u.

Cell lengths 7.1602, 7.1602, 2.6913 Å; angles 90.00, 90.00, 90.00 degrees
Last column: nearest neighbours and their distance in Å.
Sites, in units of the cell vectors:
Co (0.3274, 0.1726, 0.5000)  6 Fe 2.50-2.53, 2 Co 2.69
Co (0.1726, 0.6726, 0.5000)  6 Fe 2.50-2.53, 2 Co 2.69
Co (0.6726, 0.8274, 0.5000)  6 Fe 2.50-2.53, 2 Co 2.69
Co (0.8274, 0.3274, 0.5000)  6 Fe 2.50-2.53, 2 Co 2.69
Fe (0.1154, 0.3846, 0.0000)  1 Fe 2.34, 6 Co 2.50-2.53
Fe (0.6154, 0.1154, 0.0000)  1 Fe 2.34, 6 Co 2.50-2.53
Fe (0.8846, 0.6154, 0.0000)  1 Fe 2.34, 6 Co 2.50-2.53
Fe (0.3846, 0.8846, 0.0000)  1 Fe 2.34, 6 Co 2.50-2.53
La (0.5000, 0.5000, 0.0000)  2 La 2.69, 4 Fe 2.88, 8 Co 2.97
La (0.0000, 0.0000, 0.0000)  2 La 2.69, 4 Fe 2.88, 8 Co 2.97